AcNdGaGe after structural relaxation, computed with PBE.

Cell: 5.386 5.386 5.386 Å, 60.00 60.00 60.00°
Element x y z (fractional)
1 Ac 0.000 0.000 0.000
2 Nd 0.500 0.500 0.500
3 Ga 0.750 0.750 0.750
4 Ge 0.250 0.250 0.250

Calculated values
- Formation energy from the elements: -507 meV per atom
- Offset from the most stable computed form: 0.695 eV/f.u.